No. 1
## BaRe2Pt (PBE-GGA)

Data for a geometry-optimized BaRe2Pt structure.

The calculation puts the formation energy at 1.1714 eV/atom.

The space group is I-4m2 (No. 119) and the conventional cell measures 4.798, 4.798 and 6.762 Å, with angles of 90.00, 90.00 and 90.00 degrees. The asymmetric unit holds Ba at (0.000, 0.000, 0.000), Re at (0.000, 0.000, 0.500), Re at (0.000, 0.500, 0.250) and Pt at (0.000, 0.500, 0.750).

=====

No. 2
## BaRePt (PBE-GGA)

Data for a geometry-optimized BaRePt structure.

The calculation puts the formation energy at 1.9273 eV/atom.

The space group is F-43m (No. 216) and the conventional cell measures 7.004, 7.004 and 7.004 Å, with angles of 90.00, 90.00 and 90.00 degrees. The asymmetric unit holds Ba at (0.000, 0.000, 0.000), Re at (0.250, 0.250, 0.750) and Pt at (0.250, 0.250, 0.250).

=====

No. 3
## Ba2RePt (PBE-GGA)

Data for a geometry-optimized Ba2RePt structure.

The calculation puts the formation energy at 1.0124 eV/atom.

The space group is P4mm (No. 99) and the conventional cell measures 3.809, 3.809 and 9.697 Å, with angles of 90.00, 90.00 and 90.00 degrees. The asymmetric unit holds Ba at (0.000, 0.000, 0.000), Ba at (0.500, 0.500, 0.469), Re at (0.000, 0.000, 0.666) and Pt at (0.500, 0.500, 0.156).

=====

No. 4
## BaRe2Pt (PBE-GGA)

Data for a geometry-optimized BaRe2Pt structure.

The calculation puts the formation energy at 0.2967 eV/atom.

The space group is R3m (No. 160, hexagonal axes) and the conventional cell measures 4.3080, 4.3080 and 18.6971 Å, with angles of 90.00, 90.00 and 120.00 degrees. The asymmetric unit holds Ba at (0.0000, 0.0000, 0.0000), Re at (0.0000, 0.0000, 0.4819), Re at (0.0000, 0.0000, 0.8082) and Pt at (0.0000, 0.0000, 0.2100).

=====

No. 5
## BaRePt2 (PBE-GGA)

Data for a geometry-optimized BaRePt2 structure.

The calculation puts the formation energy at 0.5392 eV/atom.

The space group is R-3m (No. 166, hexagonal axes) and the conventional cell measures 2.9802, 2.9802 and 30.2549 Å, with angles of 90.00, 90.00 and 120.00 degrees. The asymmetric unit holds Ba at (0.0000, 0.0000, 0.0000), Re at (0.0000, 0.0000, 0.5000) and Pt at (0.0000, 0.0000, 0.2370).

=====

No. 6
## BaRe2Pt2 (PBE-GGA)

Data for a geometry-optimized BaRe2Pt2 structure.

The calculation puts the formation energy at 0.2952 eV/atom.

The space group is I4/mmm (No. 139) and the conventional cell measures 4.652, 4.652 and 9.988 Å, with angles of 90.00, 90.00 and 90.00 degrees. The asymmetric unit holds Ba at (0.000, 0.000, 0.000), Re at (0.000, 0.000, 0.384) and Pt at (0.000, 0.500, 0.250).

=====

Distance to the lowest polymorph of the same formula per entry: 338, 446, 320, 0, 279, 11 kJ/mol of formula units
Total energy per entry: -7.044, -4.877, -4.571, -7.918, -6.074, -7.485 eV per atom